1.
Crystalline Ac8Ir3I3Cl at its relaxed geometry. Source: the Alexandria database, functional PBE.

The space group is R-3m (No. 166, hexagonal axes) and the conventional cell measures 8.9947, 8.9947 and 24.8884 Å, with angles of 90.00, 90.00 and 120.00 degrees. The asymmetric unit holds Ac at (0.0000, 0.0000, 0.2286), Ac at (0.0313, 0.5156, 0.7671), Ir at (0.0000, 0.5000, 0.5000), I at (0.0000, 0.5000, 0.0000) and Cl at (0.0000, 0.0000, 0.5000).

For the volume, the calculation gives 38.748 A^3/atom. Its uncorrected formation energy is -0.980 eV per atom.



2.
Crystalline Ac4NiI2Cl at its relaxed geometry. Source: the Alexandria database, functional PBE.

The space group is P2/m (No. 10) and the conventional cell measures 7.599, 4.283 and 8.973 Å, with angles of 90.00, 107.07 and 90.00 degrees. The asymmetric unit holds Ac at (0.213, 0.000, 0.192), Ac at (0.257, 0.500, 0.798), Ni at (0.000, 0.500, 0.000), I at (0.000, 0.000, 0.500), I at (0.500, 0.500, 0.500) and Cl at (0.500, 0.000, 0.000).

For the volume, the calculation gives 34.895 A^3/atom. Its uncorrected formation energy is -0.931 eV per atom.



3.
Crystalline Ac8Ni3I3Cl at its relaxed geometry. Source: the Alexandria database, functional PBE.

The space group is C2/m (No. 12) and the conventional cell measures 15.383, 8.879 and 9.624 Å, with angles of 90.00, 122.25 and 90.00 degrees. The asymmetric unit holds Ac at (0.023, 0.229, 0.296), Ac at (0.228, 0.000, 0.684), Ac at (0.250, 0.000, 0.295), Ni at (0.000, 0.000, 0.500), Ni at (0.250, 0.250, 0.500), I at (0.000, 0.500, 0.000), I at (0.250, 0.250, 0.000) and Cl at (0.000, 0.500, 0.500).

For the volume, the calculation gives 37.060 A^3/atom. Its uncorrected formation energy is -0.694 eV per atom.